Density functional theory data (PBE) for an optimized crystal structure of AlTc2.

The space group is I4/mmm (No. 139) and the conventional cell measures 2.988, 2.988 and 9.542 Å, with angles of 90.00, 90.00 and 90.00 degrees. The distinct sites, in fractional coordinates, are Al at (0.000, 0.000, 0.000) and Tc at (0.000, 0.000, 0.331).

The formation energy is -1.2 eV per formula unit. As for the calculated total energy: -51.43 eV per cell. Its density of states at the Fermi level is 0.54 states/eV/atom. The offset from the most stable computed form is 0 meV per atom. The value obtained for the total moment is 0.00 μB/cell. For the density, the calculation gives 8.7 g cm⁻³.